Below is a relaxed structure of CsP3S, with properties calculated at the PBE level.

Structure (POSCAR):
```
CsP3S
1.0
4.892 0.000 0.000
0.000 4.892 0.000
0.000 0.000 4.892
Cs P S
1 3 1
direct
0.000 0.000 0.000
0.000 0.500 0.500
0.500 0.000 0.500
0.500 0.500 0.000
0.500 0.500 0.500
```

Results
- Space group: No. 221
- Energy relative to the elements, uncorrected: 773 meV per atom